Record 1
Material: Tb3Zn3Ni8
Method: DFT, PBE
State: relaxed

a = 4.0666 Å, b = 8.6348 Å, c = 12.2748 Å
α = 90.00°, β = 90.00°, γ = 90.00°
Closest atoms and distances in Å follow each position.
Space group Immm (No. 71)
Inequivalent atoms, fractional coordinates:
Tb (0.0000, 0.0000, 0.0000) (multiplicity 2)  4 Ni 2.78
Tb (0.0000, 0.0000, 0.2985) (multiplicity 4)  10 Ni 2.80-2.99
Zn (0.0000, 0.2251, 0.5000) (multiplicity 4)  6 Ni 2.49
Zn (0.0000, 0.5000, 0.0000) (multiplicity 2)  4 Ni 2.41
Ni (0.0000, 0.2759, 0.1175) (multiplicity 8)  3 Zn 2.41-2.49, 3 Ni 2.43-2.50
Ni (0.0000, 0.3460, 0.3154) (multiplicity 8)  4 Ni 2.43-2.66, 1 Zn 2.49

electronic total energy	-4.892	eV/atom

Record 2
Material: ZnSiAg2
Method: DFT, PBE
State: relaxed

a = 2.8993 Å, b = 2.8993 Å, c = 27.0191 Å
α = 90.00°, β = 90.00°, γ = 120.00°
Closest atoms and distances in Å follow each position.
Space group R-3m (No. 166, hexagonal axes)
Inequivalent atoms, fractional coordinates:
Zn (0.0000, 0.0000, 0.0000) (multiplicity 3)  6 Ag 2.81, 6 Zn 2.90
Si (0.0000, 0.0000, 0.5000) (multiplicity 3)  6 Ag 2.80, 6 Si 2.90
Ag (0.0000, 0.0000, 0.2497) (multiplicity 6)  3 Si 2.80, 3 Zn 2.81, 6 Ag 2.90

electronic total energy	-2.972	eV/atom
formation energy without anion corrections	128	meV/atom
excess energy over the best structure of this formula in the dataset	0.0	kJ per mole of atoms

Record 3
Material: PrCrC2
Method: DFT, PBE
State: relaxed

a = 4.4502 Å, b = 4.4501 Å, c = 5.9889 Å
α = 90.00°, β = 111.70°, γ = 90.00°
Closest atoms and distances in Å follow each position.
Space group C2 (No. 5)
Inequivalent atoms, fractional coordinates:
Pr (0.0000, 0.0000, 0.0000) (multiplicity 2)  8 C 2.79-2.81
Cr (0.0000, 0.7531, 0.5000) (multiplicity 2)  4 C 1.91
C (0.1536, 0.5033, 0.3050) (multiplicity 4)  2 Cr 1.91

electronic total energy	-7.797	eV/atom

Record 4
Material: MnBe4Co
Method: DFT, PBE
State: relaxed

a = 5.9473 Å, b = 5.9473 Å, c = 5.9473 Å
α = 90.00°, β = 90.00°, γ = 90.00°
Closest atoms and distances in Å follow each position.
Space group F-43m (No. 216)
Inequivalent atoms, fractional coordinates:
Mn (0.0000, 0.0000, 0.0000) (multiplicity 4)  12 Be 2.47, 4 Co 2.58
Be (0.1248, 0.1248, 0.6248) (multiplicity 16)  6 Be 2.10-2.11
Co (0.2500, 0.2500, 0.2500) (multiplicity 4)  12 Be 2.47, 4 Mn 2.58

electronic total energy	-5.480	eV/atom

Record 5
Material: La3Tb2Y6
Method: DFT, PBE
State: relaxed

a = 5.7830 Å, b = 12.1767 Å, c = 10.5779 Å
α = 90.00°, β = 90.05°, γ = 90.00°
Closest atoms and distances in Å follow each position.
Space group C2/m (No. 12)
Inequivalent atoms, fractional coordinates:
La (0.0000, 0.0000, 0.0000) (multiplicity 2)  6 La 3.52-3.87, 8 Y 3.65-3.72
La (0.0000, 0.2892, 0.0000) (multiplicity 4)  2 La 3.05, 2 Y 3.40
Tb (0.0000, 0.3696, 0.5000) (multiplicity 4)  1 Tb 3.18, 8 Y 3.37-3.55
Y (0.0005, 0.1500, 0.6938) (multiplicity 8)  3 Tb 3.37-3.55, 3 Y 3.56-3.65, 2 La 3.66-3.72
Y (0.0006, 0.5000, 0.7889) (multiplicity 4)  4 La 3.40-3.66, 2 Tb 3.44, 4 Y 3.56-3.57

electronic total energy	-5.568	eV/atom

Record 6
Material: Zr5Au
Method: DFT, PBE
State: relaxed

a = 5.4189 Å, b = 5.4189 Å, c = 5.1956 Å
α = 90.00°, β = 90.00°, γ = 120.00°
Closest atoms and distances in Å follow each position.
Space group P-62m (No. 189)
Inequivalent atoms, fractional coordinates:
Zr (0.0000, 0.6791, 0.0000) (multiplicity 3)  10 Zr 3.01-3.19, 2 Au 3.13
Zr (0.3333, 0.6667, 0.5000) (multiplicity 2)  3 Au 3.13, 9 Zr 3.13-3.18
Au (0.0000, 0.0000, 0.5000) (multiplicity 1)  12 Zr 3.13

electronic total energy	-7.769	eV/atom
excess energy over the best structure of this formula in the dataset	8.1	kJ per mole of atoms

Record 7
Material: NdPuIr
Method: DFT, PBE
State: relaxed

a = 4.5779 Å, b = 4.5779 Å, c = 4.2776 Å
α = 90.00°, β = 90.00°, γ = 120.00°
Closest atoms and distances in Å follow each position.
Space group P3m1 (No. 156)
Inequivalent atoms, fractional coordinates:
Nd (0.0000, 0.0000, 0.0000) (multiplicity 1)  6 Ir 3.40, 6 Pu 3.40
Pu (0.3333, 0.6667, 0.5007) (multiplicity 1)  3 Ir 2.64
Ir (0.6667, 0.3333, 0.4983) (multiplicity 1)  3 Pu 2.64

electronic total energy	-9.487	eV/atom
excess energy over the best structure of this formula in the dataset	30.7	kJ per mole of atoms

Record 8
Material: SrZrZn3
Method: DFT, PBE
State: relaxed

a = 5.1870 Å, b = 5.1870 Å, c = 5.1870 Å
α = 90.00°, β = 90.00°, γ = 90.00°
Closest atoms and distances in Å follow each position.
Space group Pm-3m (No. 221)
Inequivalent atoms, fractional coordinates:
Sr (0.0000, 0.0000, 0.0000) (multiplicity 1)  6 Zn 2.59
Zr (0.5000, 0.5000, 0.5000) (multiplicity 1)  12 Zn 3.67
Zn (0.0000, 0.0000, 0.5000) (multiplicity 3)  2 Sr 2.59

electronic total energy	-1.602	eV/atom
excess energy over the best structure of this formula in the dataset	83.9	kJ per mole of atoms

Record 9
Material: NdInAgIr
Method: DFT, PBE
State: relaxed

a = 6.9743 Å, b = 6.9743 Å, c = 6.9743 Å
α = 90.00°, β = 90.00°, γ = 90.00°
Closest atoms and distances in Å follow each position.
Space group F-43m (No. 216)
Inequivalent atoms, fractional coordinates:
Nd (0.0000, 0.0000, 0.0000) (multiplicity 4)  4 Ag 3.02, 4 Ir 3.02
In (0.0000, 0.0000, 0.5000) (multiplicity 4)  4 Ir 3.02, 4 Ag 3.02
Ag (0.2500, 0.2500, 0.2500) (multiplicity 4)  4 In 3.02, 4 Nd 3.02
Ir (0.2500, 0.2500, 0.7500) (multiplicity 4)  4 In 3.02, 4 Nd 3.02

electronic total energy	-5.092	eV/atom

Record 10
Material: Hf2In2P
Method: DFT, PBE
State: relaxed

a = 6.7828 Å, b = 6.7828 Å, c = 4.7485 Å
α = 90.00°, β = 90.00°, γ = 90.00°
Closest atoms and distances in Å follow each position.
Space group P4/mbm (No. 127)
Inequivalent atoms, fractional coordinates:
Hf (0.1631, 0.3369, 0.0000) (multiplicity 4)  2 P 2.54
In (0.1534, 0.6534, 0.5000) (multiplicity 4)  1 In 2.94, 6 Hf 2.96-3.20
P (0.0000, 0.0000, 0.0000) (multiplicity 2)  4 Hf 2.54

electronic total energy	-6.609	eV/atom

Record 11
Material: ScPaTl
Method: DFT, PBE
State: relaxed

a = 3.1714 Å, b = 19.4262 Å, c = 4.7249 Å
α = 90.00°, β = 90.00°, γ = 90.00°
Closest atoms and distances in Å follow each position.
Space group Cmcm (No. 63)
Inequivalent atoms, fractional coordinates:
Sc (0.0000, 0.0475, 0.2500) (multiplicity 4)  4 Sc 3.00-3.17, 4 Tl 3.07, 1 Pa 3.28
Pa (0.0000, 0.2165, 0.2500) (multiplicity 4)  6 Pa 3.13-3.17, 1 Sc 3.28, 1 Tl 3.43
Tl (0.0000, 0.3930, 0.2500) (multiplicity 4)  6 Sc 3.07-3.39, 2 Tl 3.17, 1 Pa 3.43

electronic total energy	-5.958	eV/atom
excess energy over the best structure of this formula in the dataset	7.2	kJ per mole of atoms

Record 12
Material: BeRh2
Method: DFT, PBE
State: relaxed

a = 3.8258 Å, b = 3.8258 Å, c = 2.7171 Å
α = 90.00°, β = 90.00°, γ = 90.00°
Closest atoms and distances in Å follow each position.
Space group P4/mmm (No. 123)
Inequivalent atoms, fractional coordinates:
Be (0.0000, 0.0000, 0.0000) (multiplicity 1)  8 Rh 2.35
Rh (0.0000, 0.5000, 0.5000) (multiplicity 2)  4 Be 2.35

electronic total energy	-6.099	eV/atom